{
  "formula": "PrFe2GeO6",
  "functional": "PBE+U",
  "state": "optimized geometry",
  "lattice": [[5.231, 0.000, 0.000], [2.613, 4.541, 0.000], [2.593, -1.417, 4.864]],
  "species": ["Pr", "Fe", "Fe", "Ge", "O", "O", "O", "O", "O", "O"],
  "frac_coords": [[0.000, 0.000, 0.000], [0.432, 0.780, 0.360], [0.477, 0.266, 0.797], [0.067, 0.465, 0.411], [0.258, 0.183, 0.596], [0.320, 0.067, 0.142], [0.480, 0.457, 0.152], [0.606, 0.548, 0.600], [0.926, 0.619, 0.147], [0.970, 0.840, 0.596]],
  "energy_ha_per_atom": -0.2510,
  "magmom_total_mub_per_atom": 0.500,
  "dos_ef_per_ev_cell": 0.0,
  "spacegroup": "P1, No. 1"
}